Record 1
Here is an optimized crystal structure of La2SmHo from Alexandria via LeMat-Bulk. Energies are from PBE-GGA. Values from VASP.

Properties
Volume = 34.5 Å³/atom
Energy of formation from the pure elements = 0.01 eV/atom

The structure in Quantum ESPRESSO input format:
```
&SYSTEM
  ibrav = 0, nat = 4, ntyp = 3
/
ATOMIC_SPECIES
Ho 164.93 Ho.upf
Sm 150.36 Sm.upf
La 138.91 La.upf
CELL_PARAMETERS angstrom
-1.0330 -3.0574 1.7592
2.5050 -2.5294 0.9147
2.1585 3.5371 11.2545
ATOMIC_POSITIONS crystal
Ho 0.0000 0.0000 0.0000
Sm 0.5000 0.5000 0.5000
La 0.7489 0.7489 0.7532
La 0.2511 0.2511 0.2468
```

***

Record 2
Here is an optimized crystal structure of La12SmHo7 from Alexandria via LeMat-Bulk. Energies are from PBE-GGA. Values from VASP.

Properties
Volume = 34.9 Å³/atom
Energy of formation from the pure elements = 0.13 eV/atom

The structure in Quantum ESPRESSO input format:
```
&SYSTEM
  ibrav = 0, nat = 20, ntyp = 3
/
ATOMIC_SPECIES
La 138.91 La.upf
Sm 150.36 Sm.upf
Ho 164.93 Ho.upf
CELL_PARAMETERS angstrom
9.5393 -0.1789 -0.2685
-2.8243 9.1134 -0.2685
-2.8243 -3.7579 8.3069
ATOMIC_POSITIONS crystal
La 0.7911 0.3193 0.6127
La 0.6807 0.3873 0.2089
La 0.4171 0.0710 0.3041
La 0.9290 0.6959 0.5829
La 0.3873 0.2089 0.6807
La 0.6959 0.5829 0.9290
La 0.3041 0.4171 0.0710
La 0.6127 0.7911 0.3193
La 0.0710 0.3041 0.4171
La 0.5829 0.9290 0.6959
La 0.3193 0.6127 0.7911
La 0.2089 0.6807 0.3873
Sm 0.0000 0.0000 0.0000
Ho 0.1057 0.6857 0.0012
Ho 0.3143 0.9988 0.8943
Ho 0.9988 0.8943 0.3143
Ho 0.5000 0.5000 0.5000
Ho 0.0012 0.1057 0.6857
Ho 0.6857 0.0012 0.1057
Ho 0.8943 0.3143 0.9988
```

***

Record 3
Here is an optimized crystal structure of LaSmHo4 from Alexandria via LeMat-Bulk. Energies are from PBE-GGA. Values from VASP.

Properties
Volume = 32.5 Å³/atom
Energy of formation from the pure elements = 0.03 eV/atom

The structure in Quantum ESPRESSO input format:
```
&SYSTEM
  ibrav = 0, nat = 6, ntyp = 3
/
ATOMIC_SPECIES
La 138.91 La.upf
Sm 150.36 Sm.upf
Ho 164.93 Ho.upf
CELL_PARAMETERS angstrom
-0.0847 5.0515 0.2307
-7.0724 -2.7690 2.5517
11.2672 0.1350 1.1832
ATOMIC_POSITIONS crystal
La 0.0000 0.9999 0.0000
Sm 0.5000 0.0000 0.5000
Ho 0.8347 0.6699 0.5021
Ho 0.1653 0.3300 0.4979
Ho 0.3333 0.6670 0.0028
Ho 0.6667 0.3330 0.9972
```

***

Record 4
Here is an optimized crystal structure of LaSm2Ho2 from Alexandria via LeMat-Bulk. Energies are from PBE-GGA. Values from VASP.

Properties
Volume = 33.7 Å³/atom
Energy of formation from the pure elements = 0.13 eV/atom

The structure in Quantum ESPRESSO input format:
```
&SYSTEM
  ibrav = 0, nat = 10, ntyp = 3
/
ATOMIC_SPECIES
La 138.91 La.upf
Sm 150.36 Sm.upf
Ho 164.93 Ho.upf
CELL_PARAMETERS angstrom
-3.8505 -1.6548 -4.7618
4.6188 -3.9033 -1.9157
-3.3749 -3.4079 8.1445
ATOMIC_POSITIONS crystal
La 0.8272 0.0772 0.2500
La 0.1728 0.9228 0.7500
Sm 0.2951 0.2230 0.1627
Sm 0.0603 0.6324 0.3373
Sm 0.7049 0.7770 0.8373
Sm 0.9397 0.3676 0.6627
Ho 0.7061 0.3337 0.9516
Ho 0.3822 0.2545 0.5484
Ho 0.2939 0.6663 0.0484
Ho 0.6178 0.7455 0.4516
```

***

Record 5
Here is an optimized crystal structure of La3Sm4Ho5 from Alexandria via LeMat-Bulk. Energies are from PBE-GGA. Values from VASP.

Properties
Volume = 33.4 Å³/atom
Energy of formation from the pure elements = 0.02 eV/atom

The structure in Quantum ESPRESSO input format:
```
&SYSTEM
  ibrav = 0, nat = 12, ntyp = 3
/
ATOMIC_SPECIES
La 138.91 La.upf
Sm 150.36 Sm.upf
Ho 164.93 Ho.upf
CELL_PARAMETERS angstrom
6.9636 -0.3709 1.8805
-5.2122 7.5078 -6.8463
4.0654 -3.8221 11.7748
ATOMIC_POSITIONS crystal
La 0.5824 0.1644 0.3324
La 0.0000 0.0000 0.5000
La 0.4176 0.8356 0.6676
Sm 0.9180 0.8382 0.6704
Sm 0.8313 0.6622 0.8314
Sm 0.1687 0.3378 0.1686
Sm 0.0820 0.1618 0.3296
Ho 0.3308 0.6667 0.8355
Ho 0.5000 0.0000 0.5000
Ho 0.7493 0.5023 0.0021
Ho 0.2507 0.4977 0.9979
Ho 0.6692 0.3333 0.1645
```

***

Record 6
Here is an optimized crystal structure of La5Sm2Ho4 from Alexandria via LeMat-Bulk. Energies are from PBE-GGA. Values from VASP.

Properties
Volume = 34.3 Å³/atom
Energy of formation from the pure elements = 0.08 eV/atom

The structure in Quantum ESPRESSO input format:
```
&SYSTEM
  ibrav = 0, nat = 11, ntyp = 3
/
ATOMIC_SPECIES
La 138.91 La.upf
Sm 150.36 Sm.upf
Ho 164.93 Ho.upf
CELL_PARAMETERS angstrom
3.5121 0.0000 -0.6632
-0.1962 11.7376 -1.0390
-0.0913 0.2058 9.1471
ATOMIC_POSITIONS crystal
La 0.9042 0.4664 0.8084
La 0.0958 0.5336 0.1916
La 0.8239 0.9278 0.6477
La 0.5000 0.0000 0.0000
La 0.1761 0.0722 0.3523
Sm 0.7166 0.3500 0.4332
Sm 0.2834 0.6500 0.5668
Ho 0.3601 0.2014 0.7201
Ho 0.9666 0.7393 0.9331
Ho 0.6399 0.7986 0.2799
Ho 0.0334 0.2607 0.0669
```

***

Record 7
Here is an optimized crystal structure of La3Sm5Ho4 from Alexandria via LeMat-Bulk. Energies are from PBE-GGA. Values from VASP.

Properties
Volume = 34.2 Å³/atom
Energy of formation from the pure elements = 0.23 eV/atom

The structure in Quantum ESPRESSO input format:
```
&SYSTEM
  ibrav = 0, nat = 12, ntyp = 3
/
ATOMIC_SPECIES
La 138.91 La.upf
Sm 150.36 Sm.upf
Ho 164.93 Ho.upf
CELL_PARAMETERS angstrom
6.0102 0.0000 0.0000
3.0051 7.6145 -2.9243
3.0051 -0.7043 9.2397
ATOMIC_POSITIONS crystal
La 0.5149 0.6908 0.2794
La 0.0000 0.5000 0.5000
La 0.4851 0.3092 0.7206
Sm 0.6236 0.9521 0.8008
Sm 0.5000 0.5000 0.5000
Sm 0.2210 0.4518 0.1061
Sm 0.7790 0.5482 0.8939
Sm 0.3764 0.0479 0.1992
Ho 0.8580 0.2218 0.0623
Ho 0.1612 0.0470 0.6306
Ho 0.8388 0.9530 0.3694
Ho 0.1420 0.7782 0.9377
```

***

Record 8
Here is an optimized crystal structure of La2Sm2Ho5 from Alexandria via LeMat-Bulk. Energies are from PBE-GGA. Values from VASP.

Properties
Volume = 33.7 Å³/atom
Energy of formation from the pure elements = 0.20 eV/atom

The structure in Quantum ESPRESSO input format:
```
&SYSTEM
  ibrav = 0, nat = 18, ntyp = 3
/
ATOMIC_SPECIES
La 138.91 La.upf
Sm 150.36 Sm.upf
Ho 164.93 Ho.upf
CELL_PARAMETERS angstrom
-4.2960 -3.6049 -10.5666
-5.6150 -2.2112 3.0372
1.7658 9.6362 2.7661
ATOMIC_POSITIONS crystal
La 0.1291 0.6884 0.2545
La 0.8708 0.4339 0.7455
La 0.6253 0.1884 0.2545
La 0.3747 0.9339 0.7455
Sm 0.0000 0.0206 0.0000
Sm 0.5000 0.5206 0.0000
Sm 0.2579 0.3537 0.5000
Sm 0.7421 0.8537 0.5000
Ho 0.2011 0.6489 0.8942
Ho 0.7989 0.7547 0.1058
Ho 0.1931 0.1489 0.8942
Ho 0.8069 0.2547 0.1058
Ho 0.3751 0.0301 0.2856
Ho 0.6249 0.7445 0.7144
Ho 0.4106 0.5301 0.2856
Ho 0.5894 0.2445 0.7144
Ho 0.0095 0.6612 0.5000
Ho 0.9905 0.1612 0.5000
```

***

Record 9
Here is an optimized crystal structure of LaSmHo4 from Alexandria via LeMat-Bulk. Energies are from PBE-GGA. Values from VASP.

Properties
Volume = 32.5 Å³/atom
Energy of formation from the pure elements = 0.07 eV/atom

The structure in Quantum ESPRESSO input format:
```
&SYSTEM
  ibrav = 0, nat = 12, ntyp = 3
/
ATOMIC_SPECIES
La 138.91 La.upf
Sm 150.36 Sm.upf
Ho 164.93 Ho.upf
CELL_PARAMETERS angstrom
-4.7741 2.7733 1.5043
3.2030 -9.1848 5.5695
3.7204 3.9930 4.4455
ATOMIC_POSITIONS crystal
La 0.7021 0.4192 0.7500
La 0.2979 0.5808 0.2500
Sm 0.6412 0.9178 0.7500
Sm 0.3588 0.0822 0.2500
Ho 0.3624 0.5849 0.7500
Ho 0.6376 0.4151 0.2500
Ho 0.3044 0.0806 0.7500
Ho 0.6956 0.9194 0.2500
Ho 0.0042 0.7556 0.9978
Ho 0.9958 0.2444 0.4978
Ho 0.0042 0.7556 0.5022
Ho 0.9958 0.2444 0.0022
```

***

Record 10
Here is an optimized crystal structure of LaSm3Ho from Alexandria via LeMat-Bulk. Energies are from PBE-GGA. Values from VASP.

Properties
Volume = 33.9 Å³/atom
Energy of formation from the pure elements = 0.02 eV/atom

The structure in Quantum ESPRESSO input format:
```
&SYSTEM
  ibrav = 0, nat = 20, ntyp = 3
/
ATOMIC_SPECIES
La 138.91 La.upf
Sm 150.36 Sm.upf
Ho 164.93 Ho.upf
CELL_PARAMETERS angstrom
-3.2040 -1.3340 1.0725
4.6138 -8.6622 3.0092
2.5732 7.1150 16.5361
ATOMIC_POSITIONS crystal
La 0.2500 0.8723 0.5510
La 0.7500 0.6277 0.0510
La 0.7500 0.1277 0.4490
La 0.2500 0.3723 0.9490
Sm 0.2500 0.8749 0.7504
Sm 0.7500 0.6251 0.2504
Sm 0.7500 0.1251 0.2496
Sm 0.2500 0.3749 0.7496
Sm 0.7500 0.1265 0.6511
Sm 0.2500 0.3735 0.1511
Sm 0.2500 0.8735 0.3489
Sm 0.7500 0.6265 0.8489
Sm 0.7500 0.6210 0.4485
Sm 0.2500 0.8790 0.9485
Sm 0.2500 0.3790 0.5515
Sm 0.7500 0.1210 0.0515
Ho 0.7500 0.6223 0.6515
Ho 0.2500 0.8777 0.1515
Ho 0.2500 0.3777 0.3485
Ho 0.7500 0.1223 0.8485
```

***

Record 11
Here is an optimized crystal structure of LaSm6Ho12 from Alexandria via LeMat-Bulk. Energies are from PBE-GGA. Values from VASP.

Properties
Volume = 32.2 Å³/atom
Energy of formation from the pure elements = 0.02 eV/atom

The structure in Quantum ESPRESSO input format:
```
&SYSTEM
  ibrav = 0, nat = 19, ntyp = 3
/
ATOMIC_SPECIES
La 138.91 La.upf
Sm 150.36 Sm.upf
Ho 164.93 Ho.upf
CELL_PARAMETERS angstrom
-6.0460 -6.1013 -1.6212
-1.8630 3.7738 8.4554
-8.4595 4.2003 0.0305
ATOMIC_POSITIONS crystal
La 0.0000 0.0000 0.0000
Sm 0.4218 0.4759 0.2092
Sm 0.0541 0.6851 0.5241
Sm 0.3690 0.7908 0.6851
Sm 0.5782 0.5241 0.7908
Sm 0.9459 0.3149 0.4759
Sm 0.6310 0.2092 0.3149
Ho 0.5247 0.8412 0.2639
Ho 0.6834 0.8948 0.8412
Ho 0.7886 0.2639 0.8948
Ho 0.4753 0.1588 0.7361
Ho 0.3166 0.1052 0.1588
Ho 0.2114 0.7361 0.1052
Ho 0.2636 0.4217 0.6306
Ho 0.1058 0.3694 0.0523
Ho 0.1581 0.0523 0.5783
Ho 0.7364 0.5783 0.3694
Ho 0.8942 0.6306 0.9477
Ho 0.8419 0.9477 0.4217
```

***

Record 12
Here is an optimized crystal structure of LaSmHoSn from Alexandria via LeMat-Bulk. Energies are from PBE-GGA. Values from VASP.

Properties
Volume = 30.1 Å³/atom
Energy of formation from the pure elements = -0.27 eV/atom

The structure in Quantum ESPRESSO input format:
```
&SYSTEM
  ibrav = 0, nat = 4, ntyp = 4
/
ATOMIC_SPECIES
Sn 118.71 Sn.upf
Ho 164.93 Ho.upf
Sm 150.36 Sm.upf
La 138.91 La.upf
CELL_PARAMETERS angstrom
-4.2622 0.1666 3.5402
-0.0643 -3.3450 4.4198
0.6971 2.1058 5.0800
ATOMIC_POSITIONS crystal
Sn 0.2500 0.2500 0.2500
Ho 0.7500 0.7500 0.7500
Sm 0.0000 0.0000 0.0000
La 0.5000 0.5000 0.5000
```

***

no.,D(E_F) (states/eV per atom)
1,1.31
2,1.73
3,1.45
4,1.34
5,1.43
6,1.47
7,1.64
8,1.71
9,1.55
10,1.50
11,1.35
12,1.57